Computed, not measured: Mn4I5F2 after structural relaxation at the PBE with a Hubbard U level of DFT.

Computed properties:
Total DFT energy (no corrections) (eV/atom): -4.72

Structure (extended XYZ):
```
11
Lattice="7.9709 -2.0205 0.0000 7.9709 2.0205 0.0000 -1.4105 0.0000 10.2901" Properties=species:S:1:pos:R:3 pbc="T T T"
Mn 0.0862 0.0000 2.9581
Mn 3.9573 0.0000 8.9554
Mn 10.5739 0.0000 1.3347
Mn 14.4450 0.0000 7.3321
I 0.8863 0.0000 9.5219
I 3.0163 0.0000 3.3512
I 7.2656 0.0000 5.1451
I 11.5149 0.0000 6.9389
I 13.6450 0.0000 0.7682
F 5.9909 0.0000 8.3305
F 8.5404 0.0000 1.9596
```